# GGA-PBE TmAlZnHg, optimized geometry
# Volume   324.2 Å³ per cell
# Total DFT energy (no corrections)   -2.701 eV per atom
# M_tot   0.00 μB per formula unit
# Energy of formation from the pure elements   -1.0 eV/f.u.
data_TmAlZnHg
_space_group_name_H-M_alt 'F -4 3 m'
_space_group_IT_number 216
_space_group_name_Hall 'F -4 2 3'
_cell_length_a 6.870
_cell_length_b 6.870
_cell_length_c 6.870
_cell_angle_alpha 90.00
_cell_angle_beta 90.00
_cell_angle_gamma 90.00
loop_
_atom_site_label
_atom_site_fract_x
_atom_site_fract_y
_atom_site_fract_z
_atom_site_occupancy
Tm1 0.000 0.000 0.000 1
Al1 0.000 0.000 0.500 1
Zn1 0.250 0.250 0.250 1
Hg1 0.250 0.250 0.750 1